{
  "formula": "Ba4LaCl",
  "functional": "PBE-GGA",
  "state": "optimized geometry",
  "magmom_total_mub_per_fu": 3.65,
  "n_ef_per_ev_atom": 2.0662,
  "energy_ry_per_atom": -0.163,
  "formation_energy_uncorrected_ev_per_atom": 0.19,
  "lattice_angstrom": [[0.0000, 5.4910, 5.4910], [5.4910, 0.0000, 5.4910], [5.4910, 5.4910, 0.0000]],
  "species": ["Ba", "Ba", "Ba", "Ba", "La", "Cl"],
  "frac_coords": [[0.3762, 0.3762, 0.3762], [0.3762, 0.3762, 0.8714], [0.3762, 0.8714, 0.3762], [0.8714, 0.3762, 0.3762], [0.7500, 0.7500, 0.7500], [0.0000, 0.0000, 0.0000]]
}